No. 1
LiMn2Ru SCAN single point on PBEsol structure; energy relative to the elements = -0.017 eV/atom; final energy = -18.45 eV/atom; symmetry = Imm2; crystal system = orthorhombic
1.0
-2.453 -0.700 -1.213
1.914 -0.311 -3.691
1.021 -3.374 3.169
Mn Li Ru
2 1 1
Direct
0.742 0.242 0.483 Mn
0.013 0.013 0.026 Mn
0.255 0.755 0.509 Li
0.491 0.491 0.981 Ru

No. 2
LiMn2Ru SCAN single point on PBEsol structure; energy relative to the elements = 0.375 eV/atom; final energy = -18.06 eV/atom; symmetry = Pmmm; crystal system = orthorhombic
1.0
2.527 0.000 0.000
0.000 3.811 0.000
0.000 0.000 4.631
Mn Ru Li
2 1 1
Direct
0.000 0.000 0.276 Mn
0.000 0.000 0.724 Mn
0.500 0.500 0.000 Ru
0.500 0.500 0.500 Li

No. 3
LiMnRu3 SCAN single point on PBEsol structure; energy relative to the elements = 1.171 eV/atom; final energy = -23.85 eV/atom; symmetry = Pm-3m; crystal system = cubic
1.0
4.349 0.000 0.000
0.000 4.349 0.000
0.000 0.000 4.349
Mn Ru Li
1 3 1
Direct
0.000 0.000 0.000 Mn
0.500 0.000 0.000 Ru
0.000 0.000 0.500 Ru
0.000 0.500 0.000 Ru
0.500 0.500 0.500 Li

No. 4
LiMnRu2 SCAN single point on PBEsol structure; energy relative to the elements = 0.113 eV/atom; final energy = -22.46 eV/atom; symmetry = I-4m2; crystal system = tetragonal
1.0
-2.723 2.319 -0.141
-2.219 -2.661 -0.898
1.733 -0.470 4.244
Li Ru Mn
1 2 1
Direct
0.500 0.500 0.000 Li
0.750 0.250 0.500 Ru
0.000 0.000 0.000 Ru
0.250 0.750 0.500 Mn

No. 5
LiMnRu2 SCAN single point on PBEsol structure; energy relative to the elements = 0.071 eV/atom; final energy = -22.50 eV/atom; symmetry = C2/m; crystal system = monoclinic
1.0
2.632 0.000 0.000
-1.316 4.213 -0.013
0.000 -0.804 4.539
Ru Li Mn
2 1 1
Direct
0.761 0.521 0.751 Ru
0.239 0.479 0.249 Ru
0.000 0.000 0.500 Li
0.500 0.000 0.000 Mn

No. 6
LiMn2Ru SCAN single point on PBEsol structure; energy relative to the elements = 0.422 eV/atom; final energy = -18.01 eV/atom; symmetry = I4/mmm; crystal system = tetragonal
1.0
3.304 0.000 0.000
0.000 3.304 0.000
-1.652 -1.652 4.004
Mn Li Ru
2 1 1
Direct
0.750 0.250 0.500 Mn
0.250 0.750 0.500 Mn
0.000 0.000 0.000 Li
0.500 0.500 0.000 Ru

Number 1: magnetic moment 0.01 Bohr magnetons per cell. Number 2: magnetic moment 0.00 Bohr magnetons per cell. Number 3: magnetic moment 0.03 Bohr magnetons per cell. Number 4: magnetic moment 2.27 Bohr magnetons per cell. Number 5: magnetic moment 2.29 Bohr magnetons per cell. Number 6: magnetic moment 0.01 Bohr magnetons per cell.